# PBE Ag2H4Pd5, relaxed
# V ... 271 Å³ per cell
# Energy ... -4.0584 eV per atom
data_Ag2H4Pd5
_space_group_name_H-M_alt 'C 1 2/m 1'
_space_group_IT_number 12
_cell_length_a 9.537
_cell_length_b 5.595
_cell_length_c 6.018
_cell_angle_alpha 90.00
_cell_angle_beta 122.61
_cell_angle_gamma 90.00
loop_
_space_group_symop_operation_xyz
'x,y,z'
'-x,-y,-z'
'-x,y,-z'
'x,-y,z'
'x+1/2,y+1/2,z'
'-x+1/2,-y+1/2,-z'
'-x+1/2,y+1/2,-z'
'x+1/2,-y+1/2,z'
loop_
_atom_site_label
_atom_site_type_symbol
_atom_site_fract_x
_atom_site_fract_y
_atom_site_fract_z
Ag1 Ag 0.106 0.000 0.277
H1 H 0.032 0.500 0.728
H2 H 0.229 0.500 0.259
Pd1 Pd 0.000 0.500 0.000
Pd2 Pd 0.151 0.249 0.737

=====

# PBE Hf2Tc2Sn, relaxed
# Formation energy ... 11 kJ/mol of atoms
# V ... 205 Å³ per cell
# Relative energy among the computed polymorphs ... 249 meV/atom
data_Hf2Tc2Sn
_space_group_name_H-M_alt 'I 4/m m m'
_space_group_IT_number 139
_space_group_name_Hall '-I 4 2'
_cell_length_a 3.505
_cell_length_b 3.505
_cell_length_c 16.690
_cell_angle_alpha 90.00
_cell_angle_beta 90.00
_cell_angle_gamma 90.00
loop_
_atom_site_label
_atom_site_type_symbol
_atom_site_fract_x
_atom_site_fract_y
_atom_site_fract_z
Hf1 Hf 0.000 0.000 0.111
Tc1 Tc 0.000 0.500 0.250
Sn1 Sn 0.000 0.000 0.500

=====

# PBE InHPtRh2, relaxed
# V ... 66 Å³ per cell
# Relative energy among the computed polymorphs ... 142 meV/atom
data_InHPtRh2
_space_group_name_H-M_alt 'P 4/m m m'
_space_group_IT_number 123
_space_group_name_Hall '-P 4 2'
_cell_length_a 3.935
_cell_length_b 3.935
_cell_length_c 4.279
_cell_angle_alpha 90.00
_cell_angle_beta 90.00
_cell_angle_gamma 90.00
loop_
_atom_site_label
_atom_site_type_symbol
_atom_site_fract_x
_atom_site_fract_y
_atom_site_fract_z
In1 In 0.000 0.000 0.000
H1 H 0.000 0.000 0.500
Pt1 Pt 0.500 0.500 0.000
Rh1 Rh 0.000 0.500 0.500

=====

# PBE SrEr2O4, relaxed
# Raw formation energy ... -3.383 eV/atom
# V ... 409 Å³ per cell
# Relative energy among the computed polymorphs ... 0 meV/atom
data_SrEr2O4
_space_group_name_H-M_alt 'P n m a'
_space_group_IT_number 62
_cell_length_a 10.106
_cell_length_b 3.395
_cell_length_c 11.906
_cell_angle_alpha 90.00
_cell_angle_beta 90.00
_cell_angle_gamma 90.00
loop_
_space_group_symop_operation_xyz
'x,y,z'
'-x,-y,-z'
'-x+1/2,-y,z+1/2'
'x+1/2,y,-z+1/2'
'x+1/2,-y+1/2,-z+1/2'
'-x+1/2,y+1/2,z+1/2'
'-x,y+1/2,-z'
'x,-y+1/2,z'
loop_
_atom_site_label
_atom_site_type_symbol
_atom_site_fract_x
_atom_site_fract_y
_atom_site_fract_z
Sr1 Sr 0.246 0.250 0.149
Er1 Er 0.075 0.250 0.388
Er2 Er 0.078 0.250 0.890
O1 O 0.017 0.750 0.784
O2 O 0.075 0.250 0.577
O3 O 0.123 0.750 0.021
O4 O 0.210 0.750 0.329

=====

# PBE TaRe5, relaxed
# Formation energy ... 13 kJ/mol of atoms
# V ... 386 Å³ per cell
# Relative energy among the computed polymorphs ... 112 meV/atom
data_TaRe5
_space_group_name_H-M_alt 'F -4 3 m'
_space_group_IT_number 216
_space_group_name_Hall 'F -4 2 3'
_cell_length_a 7.279
_cell_length_b 7.279
_cell_length_c 7.279
_cell_angle_alpha 90.00
_cell_angle_beta 90.00
_cell_angle_gamma 90.00
loop_
_atom_site_label
_atom_site_type_symbol
_atom_site_fract_x
_atom_site_fract_y
_atom_site_fract_z
Ta1 Ta 0.000 0.000 0.000
Re1 Re 0.126 0.126 0.374
Re2 Re 0.250 0.250 0.750

=====

# PBE Pm3AlSn3, relaxed
# Formation energy ... -40 kJ/mol of atoms
# V ... 447 Å³ per cell
# Relative energy among the computed polymorphs ... 263 meV/atom
data_Pm3AlSn3
_space_group_name_H-M_alt 'P 63/m'
_space_group_IT_number 176
_space_group_name_Hall '-P 6c'
_cell_length_a 9.1106
_cell_length_b 9.1106
_cell_length_c 6.2172
_cell_angle_alpha 90.00
_cell_angle_beta 90.00
_cell_angle_gamma 120.00
loop_
_atom_site_label
_atom_site_type_symbol
_atom_site_fract_x
_atom_site_fract_y
_atom_site_fract_z
Pm1 Pm 0.0790 0.6773 0.2500
Al1 Al 0.3333 0.6667 0.7500
Sn1 Sn 0.0678 0.7287 0.7500

=====

# PBE RbAcSeCl, relaxed
# Raw formation energy ... -1.631 eV/atom
# V ... 421 Å³ per cell
data_RbAcSeCl
_space_group_name_H-M_alt 'R 3 m'
_space_group_IT_number 160
_space_group_name_Hall 'R 3 -2"'
_cell_length_a 4.3764
_cell_length_b 4.3764
_cell_length_c 25.3614
_cell_angle_alpha 90.00
_cell_angle_beta 90.00
_cell_angle_gamma 120.00
loop_
_atom_site_label
_atom_site_type_symbol
_atom_site_fract_x
_atom_site_fract_y
_atom_site_fract_z
Rb1 Rb 0.0000 0.0000 0.0000
Ac1 Ac 0.0000 0.0000 0.8233
Se1 Se 0.0000 0.0000 0.4199
Cl1 Cl 0.0000 0.0000 0.2338

=====

# PBE Na2SnS2, relaxed
# Raw formation energy ... -0.471 eV/atom
# V ... 209 Å³ per cell
# Relative energy among the computed polymorphs ... 362 meV/atom
data_Na2SnS2
_space_group_name_H-M_alt 'P 4/m b m'
_space_group_IT_number 127
_space_group_name_Hall '-P 4 2ab'
_cell_length_a 7.677
_cell_length_b 7.677
_cell_length_c 3.553
_cell_angle_alpha 90.00
_cell_angle_beta 90.00
_cell_angle_gamma 90.00
loop_
_atom_site_label
_atom_site_type_symbol
_atom_site_fract_x
_atom_site_fract_y
_atom_site_fract_z
Na1 Na 0.119 0.381 0.000
Sn1 Sn 0.000 0.000 0.000
S1 S 0.186 0.686 0.500

=====

# PBE LiPuMgCl6, relaxed
# Raw formation energy ... -1.821 eV/atom
# V ... 456 Å³ per cell
data_LiPuMgCl6
_space_group_name_H-M_alt 'P -3 1 c'
_space_group_IT_number 163
_space_group_name_Hall '-P 3 2c'
_cell_length_a 6.6750
_cell_length_b 6.6750
_cell_length_c 11.8054
_cell_angle_alpha 90.00
_cell_angle_beta 90.00
_cell_angle_gamma 120.00
loop_
_atom_site_label
_atom_site_type_symbol
_atom_site_fract_x
_atom_site_fract_y
_atom_site_fract_z
Li1 Li 0.0000 0.0000 0.0000
Pu1 Pu 0.3333 0.6667 0.2500
Mg1 Mg 0.3333 0.6667 0.7500
Cl1 Cl 0.0231 0.3516 0.6284

=====

# PBE CsK6Tl, relaxed
# Formation energy ... 2 kJ/mol of atoms
# V ... 1068 Å³ per cell
data_CsK6Tl
_space_group_name_H-M_alt 'C 1 2/m 1'
_space_group_IT_number 12
_cell_length_a 10.168
_cell_length_b 14.679
_cell_length_c 8.547
_cell_angle_alpha 90.00
_cell_angle_beta 123.14
_cell_angle_gamma 90.00
loop_
_space_group_symop_operation_xyz
'x,y,z'
'-x,-y,-z'
'-x,y,-z'
'x,-y,z'
'x+1/2,y+1/2,z'
'-x+1/2,-y+1/2,-z'
'-x+1/2,y+1/2,-z'
'x+1/2,-y+1/2,z'
loop_
_atom_site_label
_atom_site_type_symbol
_atom_site_fract_x
_atom_site_fract_y
_atom_site_fract_z
Cs1 Cs 0.000 0.000 0.000
K1 K 0.059 0.500 0.296
K2 K 0.220 0.222 0.738
Tl1 Tl 0.000 0.000 0.500

=====

# PBE Pm4SmDy, relaxed
# Formation energy ... 11 kJ/mol of atoms
# V ... 406 Å³ per cell
# Relative energy among the computed polymorphs ... 46 meV/atom
data_Pm4SmDy
_space_group_name_H-M_alt 'C 1 2/m 1'
_space_group_IT_number 12
_cell_length_a 11.155
_cell_length_b 6.014
_cell_length_c 6.055
_cell_angle_alpha 90.00
_cell_angle_beta 90.17
_cell_angle_gamma 90.00
loop_
_space_group_symop_operation_xyz
'x,y,z'
'-x,-y,-z'
'-x,y,-z'
'x,-y,z'
'x+1/2,y+1/2,z'
'-x+1/2,-y+1/2,-z'
'-x+1/2,y+1/2,-z'
'x+1/2,-y+1/2,z'
loop_
_atom_site_label
_atom_site_type_symbol
_atom_site_fract_x
_atom_site_fract_y
_atom_site_fract_z
Pm1 Pm 0.166 0.000 0.026
Pm2 Pm 0.166 0.500 0.475
Sm1 Sm 0.000 0.500 0.000
Dy1 Dy 0.000 0.000 0.500

=====

# PBE P3PtC, relaxed
# Formation energy ... 87 kJ/mol of atoms
# V ... 64 Å³ per cell
# Relative energy among the computed polymorphs ... 0 meV/atom
data_P3PtC
_space_group_name_H-M_alt 'P m -3 m'
_space_group_IT_number 221
_space_group_name_Hall '-P 4 2 3'
_cell_length_a 3.998
_cell_length_b 3.998
_cell_length_c 3.998
_cell_angle_alpha 90.00
_cell_angle_beta 90.00
_cell_angle_gamma 90.00
loop_
_atom_site_label
_atom_site_type_symbol
_atom_site_fract_x
_atom_site_fract_y
_atom_site_fract_z
P1 P 0.000 0.000 0.500
Pt1 Pt 0.500 0.500 0.500
C1 C 0.000 0.000 0.000

=====

# PBE Li3B7O12, relaxed
# Raw formation energy ... -2.435 eV/atom
# V ... 431 Å³ per cell
data_Li3B7O12
_space_group_name_H-M_alt 'P -1'
_space_group_IT_number 2
_cell_length_a 6.562
_cell_length_b 7.990
_cell_length_c 8.627
_cell_angle_alpha 91.30
_cell_angle_beta 104.72
_cell_angle_gamma 99.09
loop_
_space_group_symop_operation_xyz
'x,y,z'
'-x,-y,-z'
loop_
_atom_site_label
_atom_site_type_symbol
_atom_site_fract_x
_atom_site_fract_y
_atom_site_fract_z
Li1 Li 0.011 0.305 0.183
Li2 Li 0.222 0.803 0.533
Li3 Li 0.483 0.922 0.196
B1 B 0.042 0.708 0.191
B2 B 0.095 0.040 0.701
B3 B 0.215 0.140 0.991
B4 B 0.245 0.130 0.459
B5 B 0.269 0.504 0.769
B6 B 0.383 0.571 0.214
B7 B 0.438 0.273 0.271
O1 O 0.035 0.827 0.320
O2 O 0.047 0.131 0.350
O3 O 0.059 0.241 0.970
O4 O 0.067 0.467 0.786
O5 O 0.228 0.034 0.866
O6 O 0.261 0.058 0.605
O7 O 0.269 0.702 0.195
O8 O 0.312 0.411 0.252
O9 O 0.332 0.661 0.716
O10 O 0.360 0.138 0.137
O11 O 0.411 0.390 0.808
O12 O 0.434 0.195 0.424

=====

# PBE TaHgTe3, relaxed
# Raw formation energy ... -0.115 eV/atom
# V ... 641 Å³ per cell
# Relative energy among the computed polymorphs ... 0 meV/atom
data_TaHgTe3
_space_group_name_H-M_alt 'C m c m'
_space_group_IT_number 63
_space_group_name_Hall '-C 2c 2'
_cell_length_a 7.831
_cell_length_b 13.540
_cell_length_c 6.047
_cell_angle_alpha 90.00
_cell_angle_beta 90.00
_cell_angle_gamma 90.00
loop_
_atom_site_label
_atom_site_type_symbol
_atom_site_fract_x
_atom_site_fract_y
_atom_site_fract_z
Ta1 Ta 0.000 0.000 0.000
Hg1 Hg 0.000 0.334 0.250
Te1 Te 0.000 0.173 0.750
Te2 Te 0.241 0.414 0.750

=====

# PBE Rb2YI5, relaxed
# Raw formation energy ... -1.397 eV/atom
# V ... 870 Å³ per cell
# Relative energy among the computed polymorphs ... 51 meV/atom
data_Rb2YI5
_space_group_name_H-M_alt 'I 4 m m'
_space_group_IT_number 107
_space_group_name_Hall 'I 4 -2'
_cell_length_a 9.051
_cell_length_b 9.051
_cell_length_c 10.619
_cell_angle_alpha 90.00
_cell_angle_beta 90.00
_cell_angle_gamma 90.00
loop_
_atom_site_label
_atom_site_type_symbol
_atom_site_fract_x
_atom_site_fract_y
_atom_site_fract_z
Rb1 Rb 0.000 0.500 0.000
Y1 Y 0.000 0.000 0.228
I1 I 0.000 0.000 0.962
I2 I 0.231 0.231 0.277

=====

# PBE YTmCBr, relaxed
# Raw formation energy ... -0.950 eV/atom
# V ... 246 Å³ per cell
data_YTmCBr
_space_group_name_H-M_alt 'R 3 m'
_space_group_IT_number 160
_space_group_name_Hall 'R 3 -2"'
_cell_length_a 3.6635
_cell_length_b 3.6635
_cell_length_c 21.1871
_cell_angle_alpha 90.00
_cell_angle_beta 90.00
_cell_angle_gamma 120.00
loop_
_atom_site_label
_atom_site_type_symbol
_atom_site_fract_x
_atom_site_fract_y
_atom_site_fract_z
Y1 Y 0.0000 0.0000 0.0000
Tm1 Tm 0.0000 0.0000 0.7856
C1 C 0.0000 0.0000 0.3974
Br1 Br 0.0000 0.0000 0.2244

=====

# PBE LiCePtO4, relaxed
# Raw formation energy ... -1.878 eV/atom
# V ... 398 Å³ per cell
data_LiCePtO4
_space_group_name_H-M_alt 'I m m a'
_space_group_IT_number 74
_space_group_name_Hall '-I 2b 2'
_cell_length_a 6.225
_cell_length_b 7.036
_cell_length_c 9.088
_cell_angle_alpha 90.00
_cell_angle_beta 90.00
_cell_angle_gamma 90.00
loop_
_atom_site_label
_atom_site_type_symbol
_atom_site_fract_x
_atom_site_fract_y
_atom_site_fract_z
Li1 Li 0.000 0.250 0.115
Ce1 Ce 0.000 0.000 0.500
Pt1 Pt 0.250 0.250 0.750
O1 O 0.000 0.055 0.755
O2 O 0.223 0.250 0.481

=====

# PBE CsPuCrN3, relaxed
# Raw formation energy ... -0.531 eV/atom
# V ... 405 Å³ per cell
data_CsPuCrN3
_space_group_name_H-M_alt 'C 1 2/m 1'
_space_group_IT_number 12
_cell_length_a 13.331
_cell_length_b 3.720
_cell_length_c 8.404
_cell_angle_alpha 90.00
_cell_angle_beta 103.63
_cell_angle_gamma 90.00
loop_
_space_group_symop_operation_xyz
'x,y,z'
'-x,-y,-z'
'-x,y,-z'
'x,-y,z'
'x+1/2,y+1/2,z'
'-x+1/2,-y+1/2,-z'
'-x+1/2,y+1/2,-z'
'x+1/2,-y+1/2,z'
loop_
_atom_site_label
_atom_site_type_symbol
_atom_site_fract_x
_atom_site_fract_y
_atom_site_fract_z
Cs1 Cs 0.141 0.000 0.068
Pu1 Pu 0.153 0.000 0.563
Cr1 Cr 0.003 0.500 0.333
N1 N 0.011 0.000 0.332
N2 N 0.138 0.500 0.723
N3 N 0.171 0.500 0.408

=====

# PBE K2HS, relaxed
# V ... 410 Å³ per cell
# Relative energy among the computed polymorphs ... 186 meV/atom
data_K2HS
_space_group_name_H-M_alt 'F m -3 m'
_space_group_IT_number 225
_space_group_name_Hall '-F 4 2 3'
_cell_length_a 7.428
_cell_length_b 7.428
_cell_length_c 7.428
_cell_angle_alpha 90.00
_cell_angle_beta 90.00
_cell_angle_gamma 90.00
loop_
_atom_site_label
_atom_site_type_symbol
_atom_site_fract_x
_atom_site_fract_y
_atom_site_fract_z
K1 K 0.250 0.250 0.250
H1 H 0.000 0.000 0.000
S1 S 0.000 0.000 0.500

=====

# PBE La2SiBiPt6, relaxed
# Raw formation energy ... -0.881 eV/atom
# V ... 439 Å³ per cell
data_La2SiBiPt6
_space_group_name_H-M_alt 'P m m n'
_space_group_IT_number 59
_cell_length_a 5.609
_cell_length_b 8.687
_cell_length_c 9.016
_cell_angle_alpha 90.00
_cell_angle_beta 90.00
_cell_angle_gamma 90.00
loop_
_space_group_symop_operation_xyz
'x,y,z'
'-x,-y,-z'
'-x+1/2,-y+1/2,z'
'x+1/2,y+1/2,-z'
'x+1/2,-y,-z'
'-x+1/2,y,z'
'-x,y+1/2,-z'
'x,-y+1/2,z'
loop_
_atom_site_label
_atom_site_type_symbol
_atom_site_fract_x
_atom_site_fract_y
_atom_site_fract_z
La1 La 0.250 0.009 0.245
Si1 Si 0.250 0.750 0.730
Bi1 Bi 0.250 0.250 0.796
Pt1 Pt 0.004 0.250 0.494
Pt2 Pt 0.006 0.750 0.944
Pt3 Pt 0.250 0.000 0.603

=====

# PBE ScTlSb2, relaxed
# Raw formation energy ... -0.012 eV/atom
# V ... 425 Å³ per cell
# Relative energy among the computed polymorphs ... 349 meV/atom
data_ScTlSb2
_space_group_name_H-M_alt 'F -4 3 m'
_space_group_IT_number 216
_space_group_name_Hall 'F -4 2 3'
_cell_length_a 7.519
_cell_length_b 7.519
_cell_length_c 7.519
_cell_angle_alpha 90.00
_cell_angle_beta 90.00
_cell_angle_gamma 90.00
loop_
_atom_site_label
_atom_site_type_symbol
_atom_site_fract_x
_atom_site_fract_y
_atom_site_fract_z
Sc1 Sc 0.000 0.000 0.000
Tl1 Tl 0.250 0.250 0.750
Sb1 Sb 0.000 0.000 0.500
Sb2 Sb 0.250 0.250 0.250